TmTaOsRu after structural relaxation, computed with PBE.

Structure (CIF):
```
data_TmTaOsRu
_space_group_name_H-M_alt 'F -4 3 m'
_space_group_IT_number 216
_space_group_name_Hall 'F -4 2 3'
_cell_length_a 6.509
_cell_length_b 6.509
_cell_length_c 6.509
_cell_angle_alpha 90.00
_cell_angle_beta 90.00
_cell_angle_gamma 90.00
loop_
_atom_site_label
_atom_site_fract_x
_atom_site_fract_y
_atom_site_fract_z
_atom_site_occupancy
Tm1 0.000 0.000 0.000 1
Ta1 0.000 0.000 0.500 1
Os1 0.250 0.250 0.250 1
Ru1 0.250 0.250 0.750 1
```

=====

ZrZn2Tc2 after structural relaxation, computed with PBE.

Structure (CIF):
```
data_ZrZn2Tc2
_space_group_name_H-M_alt 'I 4/m m m'
_space_group_IT_number 139
_space_group_name_Hall '-I 4 2'
_cell_length_a 3.983
_cell_length_b 3.983
_cell_length_c 11.060
_cell_angle_alpha 90.00
_cell_angle_beta 90.00
_cell_angle_gamma 90.00
loop_
_atom_site_label
_atom_site_fract_x
_atom_site_fract_y
_atom_site_fract_z
_atom_site_occupancy
Zr1 0.000 0.000 0.000 1
Zn1 0.000 0.500 0.250 1
Tc1 0.000 0.000 0.399 1
```

=====

Ba4LiY after structural relaxation, computed with PBE.

Structure (CIF):
```
data_Ba4LiY
_space_group_name_H-M_alt 'F -4 3 m'
_space_group_IT_number 216
_space_group_name_Hall 'F -4 2 3'
_cell_length_a 10.831
_cell_length_b 10.831
_cell_length_c 10.831
_cell_angle_alpha 90.00
_cell_angle_beta 90.00
_cell_angle_gamma 90.00
loop_
_atom_site_label
_atom_site_fract_x
_atom_site_fract_y
_atom_site_fract_z
_atom_site_occupancy
Ba1 0.124 0.124 0.376 1
Li1 0.000 0.000 0.000 1
Y1 0.250 0.250 0.750 1
```

=====

Number 1: ΔH_f (0 K) -1.6 eV/f.u., total magnetic moment 0.0 μB per cell. Number 2: ΔH_f (0 K) 1.1 eV/f.u., total magnetic moment 0.0 μB per cell. Number 3: ΔH_f (0 K) 2.9 eV/f.u., total magnetic moment 9.7 μB per cell.